{"formula": "Ca2WF", "functional": "PBE with a Hubbard U", "state": "optimized geometry", "cell": [[-1.0068, -0.2723, 5.2635], [-3.9949, 2.8874, 2.1203], [-4.4390, -2.4478, 1.7593]], "species": ["W", "Ca", "Ca", "F"], "fractional_positions": [[0.5000, 0.5000, 0.5000], [0.7500, 0.7500, 0.7500], [0.2500, 0.2500, 0.2500], [0.0000, 0.0000, 0.0000]], "relative_energy_mev_per_atom": 566, "total_magnetization_mub_per_fu": 4.99, "dft_energy_ev_per_atom": -3.386}